Model i:
## CrN2ClF (PBE+U)

Data for crystalline CrN2ClF at its relaxed geometry.

The calculation puts the density of states at the Fermi level at 2.91 states/eV per cell.

```
data_CrN2ClF
_chemical_formula_sum 'Cr1 N2 Cl1 F1'
_cell_length_a 3.998
_cell_length_b 3.998
_cell_length_c 3.903
_cell_angle_alpha 90.00
_cell_angle_beta 90.00
_cell_angle_gamma 90.00
_space_group_name_H-M_alt 'P 4/m m m'
_space_group_IT_number 123
_space_group_name_Hall '-P 4 2'
loop_
_atom_site_label
_atom_site_type_symbol
_atom_site_fract_x
_atom_site_fract_y
_atom_site_fract_z
Cr1 Cr 0.000 0.000 0.000
N1 N 0.000 0.500 0.000
Cl1 Cl 0.500 0.500 0.500
F1 F 0.000 0.000 0.500
```

---

Model ii:
## CrN2ClF (PBE+U)

Data for crystalline CrN2ClF at its relaxed geometry.

The calculation puts the density of states at the Fermi level at 4.56 states/eV per cell.

```
data_CrN2ClF
_chemical_formula_sum 'Cr1 N2 Cl1 F1'
_cell_length_a 3.594
_cell_length_b 3.594
_cell_length_c 5.286
_cell_angle_alpha 90.00
_cell_angle_beta 90.00
_cell_angle_gamma 90.00
_space_group_name_H-M_alt 'P 4/m m m'
_space_group_IT_number 123
_space_group_name_Hall '-P 4 2'
loop_
_atom_site_label
_atom_site_type_symbol
_atom_site_fract_x
_atom_site_fract_y
_atom_site_fract_z
Cr1 Cr 0.000 0.000 0.000
N1 N 0.000 0.500 0.500
Cl1 Cl 0.500 0.500 0.500
F1 F 0.500 0.500 0.000
```

---

Quick one: least stable of them? model ii

---

Model i:
## CrP2ClF (PBE+U)

Data for crystalline CrP2ClF at its relaxed geometry.

The calculation puts the density of states at the Fermi level at 3.58 states/eV per cell.

```
data_CrP2ClF
_chemical_formula_sum 'Cr1 P2 Cl1 F1'
_cell_length_a 4.374
_cell_length_b 4.374
_cell_length_c 4.654
_cell_angle_alpha 90.00
_cell_angle_beta 90.00
_cell_angle_gamma 90.00
_space_group_name_H-M_alt 'P 4/m m m'
_space_group_IT_number 123
_space_group_name_Hall '-P 4 2'
loop_
_atom_site_label
_atom_site_type_symbol
_atom_site_fract_x
_atom_site_fract_y
_atom_site_fract_z
Cr1 Cr 0.000 0.000 0.000
P1 P 0.000 0.500 0.000
Cl1 Cl 0.000 0.000 0.500
F1 F 0.500 0.500 0.500
```

---

Model ii:
## CrP2ClF (PBE+U)

Data for crystalline CrP2ClF at its relaxed geometry.

The calculation puts the density of states at the Fermi level at 3.43 states/eV per cell.

```
data_CrP2ClF
_chemical_formula_sum 'Cr1 P2 Cl1 F1'
_cell_length_a 4.067
_cell_length_b 4.067
_cell_length_c 5.390
_cell_angle_alpha 90.00
_cell_angle_beta 90.00
_cell_angle_gamma 90.00
_space_group_name_H-M_alt 'P 4/m m m'
_space_group_IT_number 123
_space_group_name_Hall '-P 4 2'
loop_
_atom_site_label
_atom_site_type_symbol
_atom_site_fract_x
_atom_site_fract_y
_atom_site_fract_z
Cr1 Cr 0.000 0.000 0.000
P1 P 0.000 0.500 0.500
Cl1 Cl 0.500 0.500 0.000
F1 F 0.500 0.500 0.500
```

---

Quick one: least stable of them? model ii

---

Model i:
## CrS2ClF (PBE+U)

Data for crystalline CrS2ClF at its relaxed geometry.

The calculation puts the density of states at the Fermi level at 3.39 states/eV per cell.

```
data_CrS2ClF
_chemical_formula_sum 'Cr1 S2 Cl1 F1'
_cell_length_a 4.376
_cell_length_b 4.376
_cell_length_c 4.673
_cell_angle_alpha 90.00
_cell_angle_beta 90.00
_cell_angle_gamma 90.00
_space_group_name_H-M_alt 'P 4/m m m'
_space_group_IT_number 123
_space_group_name_Hall '-P 4 2'
loop_
_atom_site_label
_atom_site_type_symbol
_atom_site_fract_x
_atom_site_fract_y
_atom_site_fract_z
Cr1 Cr 0.000 0.000 0.000
S1 S 0.000 0.500 0.000
Cl1 Cl 0.000 0.000 0.500
F1 F 0.500 0.500 0.500
```

---

Model ii:
## CrS2ClF (PBE+U)

Data for crystalline CrS2ClF at its relaxed geometry.

The calculation puts the density of states at the Fermi level at 4.31 states/eV per cell.

```
data_CrS2ClF
_chemical_formula_sum 'Cr1 S2 Cl1 F1'
_cell_length_a 4.090
_cell_length_b 4.090
_cell_length_c 5.888
_cell_angle_alpha 90.00
_cell_angle_beta 90.00
_cell_angle_gamma 90.00
_space_group_name_H-M_alt 'P 4/m m m'
_space_group_IT_number 123
_space_group_name_Hall '-P 4 2'
loop_
_atom_site_label
_atom_site_type_symbol
_atom_site_fract_x
_atom_site_fract_y
_atom_site_fract_z
Cr1 Cr 0.000 0.000 0.000
S1 S 0.000 0.500 0.500
Cl1 Cl 0.500 0.500 0.000
F1 F 0.500 0.500 0.500
```

---

Quick one: least stable of them? model i